No. 1
DFT (PBE-GGA) results for crystalline Nd2TiGe4Ir3 at its relaxed geometry.

## Properties
The total energy comes out at -6.988 eV/atom. As for the total magnetic moment: 0.00 Bohr magnetons per cell. The value obtained for the energy of formation from the pure elements is -7.40 eV per formula unit.

Unit cell a=4.225 b=4.225 c=10.700 alpha=90.00 beta=90.00 gamma=90.00
Sites, in units of the cell vectors:
Ir1 0.500 0.000 0.876
Ir2 0.000 0.000 0.500
Ir3 0.000 0.500 0.124
Ge1 0.500 0.500 0.000
Ge2 0.000 0.000 0.000
Ge3 0.500 0.000 0.643
Ge4 0.000 0.500 0.357
Nd1 0.000 0.500 0.756
Nd2 0.500 0.000 0.244
Ti1 0.500 0.500 0.500

***

No. 2
DFT (PBE-GGA) results for crystalline TiZn3Pt2 at its relaxed geometry.

## Properties
The total energy comes out at -4.537 eV/atom. As for the total magnetic moment: 0.00 Bohr magnetons per cell. The value obtained for the energy of formation from the pure elements is -3.43 eV per formula unit.

Unit cell a=3.781 b=7.415 c=7.359 alpha=65.58 beta=75.11 gamma=75.23
Sites, in units of the cell vectors:
Pt1 0.578 0.054 0.790
Pt2 0.241 0.375 0.143
Pt3 0.422 0.946 0.210
Pt4 0.759 0.625 0.857
Zn1 0.749 0.121 0.381
Zn2 0.251 0.879 0.619
Zn3 0.584 0.543 0.289
Zn4 0.416 0.457 0.711
Zn5 0.920 0.706 0.454
Zn6 0.080 0.294 0.546
Ti1 0.906 0.217 0.972
Ti2 0.094 0.783 0.028

***

No. 3
DFT (PBE-GGA) results for crystalline ReSiW2 at its relaxed geometry.

## Properties
The total energy comes out at -10.818 eV/atom. As for the total magnetic moment: 0.00 Bohr magnetons per cell. The value obtained for the uncorrected formation energy is 0.13 eV per atom.

Unit cell a=3.222 b=3.222 c=5.762 alpha=90.00 beta=90.00 gamma=90.00
Sites, in units of the cell vectors:
W1 0.000 0.000 0.985
W2 0.000 0.000 0.515
Re1 0.500 0.500 0.250
Si1 0.500 0.500 0.750